# 1
Here is GaNiAsCl2 after structural relaxation from Alexandria. Energies are from PBE.

Lattice parameters (Å, degrees): 4.7513 4.7513 5.0691 90.00 90.00 90.00
Sites, in units of the cell vectors:
1 Ga 0.0000 0.0000 0.0000
2 Ni 0.0000 0.0000 0.5000
3 As 0.5000 0.5000 0.5000
4 Cl 0.0000 0.5000 0.0000
5 Cl 0.5000 0.0000 0.0000

Computed properties:
Total magnetic moment (μB per atom): 0.2487
ΔE_f (raw) (eV per atom): 0.545



# 2
Here is TeAs3C after structural relaxation from Alexandria. Energies are from PBE.

Lattice parameters (Å, degrees): 4.5031 4.5031 4.5031 90.00 90.00 90.00
Sites, in units of the cell vectors:
1 Te 0.0000 0.0000 0.0000
2 As 0.0000 0.5000 0.5000
3 As 0.5000 0.0000 0.5000
4 As 0.5000 0.5000 0.0000
5 C 0.5000 0.5000 0.5000

Computed properties:
E above lowest polymorph (meV/atom): 0.0
Total magnetic moment (μB per atom): 0.0000
ΔE_f (raw) (eV per atom): 1.027



# 3
Here is TcNiRu after structural relaxation from Alexandria. Energies are from PBE.

Lattice parameters (Å, degrees): 3.1068 3.1068 8.2295 90.00 90.00 90.00
Sites, in units of the cell vectors:
1 Tc 0.0000 0.0000 0.0000
2 Tc 0.5000 0.5000 0.5000
3 Ni 0.0000 0.0000 0.6581
4 Ni 0.5000 0.5000 0.1581
5 Ru 0.0000 0.0000 0.3228
6 Ru 0.5000 0.5000 0.8228

Computed properties:
E above lowest polymorph (meV/atom): 128.3
Total magnetic moment (μB per atom): 0.0000
Formation enthalpy at 0 K (eV/atom): 0.139



# 4
Here is Er3AlGa2 after structural relaxation from Alexandria. Energies are from PBE.

Lattice parameters (Å, degrees): 8.0592 8.0592 6.2906 104.13 104.13 44.26
Sites, in units of the cell vectors:
1 Er 0.1474 0.8526 0.7500
2 Er 0.2179 0.4299 0.3952
3 Er 0.4299 0.2179 0.8952
4 Er 0.5701 0.7821 0.1048
5 Er 0.7821 0.5701 0.6048
6 Er 0.8526 0.1474 0.2500
7 Al 0.3499 0.6501 0.2500
8 Al 0.6501 0.3499 0.7500
9 Ga 0.0430 0.2695 0.0337
10 Ga 0.2695 0.0430 0.5337
11 Ga 0.7305 0.9570 0.4663
12 Ga 0.9570 0.7305 0.9663

Computed properties:
E above lowest polymorph (meV/atom): 70.7
Total magnetic moment (μB per atom): 0.0000
Formation enthalpy at 0 K (eV/atom): -0.440